# Cs2HWF, optimized geometry, DFT PBE+U
data_Cs2HWF
_chemical_formula_sum 'Cs2 H1 W1 F1'
_space_group_name_H-M_alt 'P 1'
_space_group_IT_number 1
_cell_length_a 7.015
_cell_length_b 7.015
_cell_length_c 4.074
_cell_angle_alpha 90.00
_cell_angle_beta 90.00
_cell_angle_gamma 90.00
loop_
_space_group_symop_operation_xyz
'x,y,z'
loop_
_atom_site_label
_atom_site_type_symbol
_atom_site_fract_x
_atom_site_fract_y
_atom_site_fract_z
_atom_site_occupancy
Cs1 Cs 0.000 0.500 0.000 1
Cs2 Cs 0.500 0.000 0.000 1
H1 H 0.000 0.000 0.500 1
W1 W 0.500 0.500 0.000 1
F1 F 0.500 0.500 0.500 1
# Total energy = -2.82 eV per atom